Entry from Alexandria via LeMat-Bulk: a relaxed structure of Mn2PbF (PBE with a Hubbard U).

Summary:
Symmetry   Fm-3m
Offset from the most stable computed form   222.0 meV/atom

a = 4.8198 Å, b = 4.8198 Å, c = 4.8198 Å
α = 60.00°, β = 60.00°, γ = 60.00°
Site moments in Bohr magnetons follow the coordinates.
Element x y z (fractional)
F: 0.0000 0.0000 0.0000  0.03
Mn: 0.7500 0.7500 0.7500  4.52
Mn: 0.2500 0.2500 0.2500  4.52
Pb: 0.5000 0.5000 0.5000  -0.29